First-principles (PBE-GGA) data for an optimized crystal structure of TbPmGa2Ni2, as listed in Alexandria via LeMat-Bulk.

The calculation puts the density of states at the Fermi level at 0.88 states/eV per atom. The space group is P-3m1 (164). As for the total energy: -30.4 eV/cell.

abc: 4.3138 4.3138 7.1920
angles: 90.00 90.00 120.00
Atoms (fractional coordinates):
Tb 0.0000 0.0000 0.0000
Pm 0.0000 0.0000 0.5000
Ga 0.3333 0.6667 0.7612
Ga 0.6667 0.3333 0.2388
Ni 0.3333 0.6667 0.2364
Ni 0.6667 0.3333 0.7636